Record 1
# RbIr3W GGA-PBE optimized geometry
data_RbIr3W
_chemical_formula_sum 'Rb1 Ir3 W1'
_cell_length_a 4.878
_cell_length_b 4.878
_cell_length_c 4.878
_cell_angle_alpha 90.00
_cell_angle_beta 90.00
_cell_angle_gamma 90.00
_space_group_name_H-M_alt 'P 1'
_space_group_IT_number 1
_space_group_name_Hall 'P 1'
loop_
_atom_site_label
_atom_site_fract_x
_atom_site_fract_y
_atom_site_fract_z
_atom_site_occupancy
Ir1 0.000 0.500 0.000 1
Ir2 0.500 0.000 0.000 1
Ir3 0.000 0.000 0.500 1
Rb1 0.500 0.500 0.500 1
W1 0.000 0.000 0.000 1
# E above lowest polymorph   0.000 eV/atom
# M_tot   0.000 μB/cell
# Space group   No. 221
# ΔE_f   1.313 eV per atom

=====

Record 2
# CrMoAu4 GGA-PBE optimized geometry
data_CrMoAu4
_chemical_formula_sum 'Cr1 Mo1 Au4'
_cell_length_a 5.433
_cell_length_b 5.433
_cell_length_c 5.433
_cell_angle_alpha 60.00
_cell_angle_beta 60.00
_cell_angle_gamma 60.00
_space_group_name_H-M_alt 'P 1'
_space_group_IT_number 1
_space_group_name_Hall 'P 1'
loop_
_atom_site_label
_atom_site_fract_x
_atom_site_fract_y
_atom_site_fract_z
_atom_site_occupancy
Mo1 0.000 0.000 0.000 1
Au1 0.375 0.375 0.375 1
Au2 0.875 0.375 0.375 1
Au3 0.375 0.875 0.375 1
Au4 0.375 0.375 0.875 1
Cr1 0.750 0.750 0.750 1
# M_tot   0.789 μB/cell
# Space group   No. 216
# ΔE_f   0.513 eV per atom

=====

Record 3
# SrRh2Br GGA-PBE optimized geometry
data_SrRh2Br
_chemical_formula_sum 'Sr1 Rh2 Br1'
_cell_length_a 5.655
_cell_length_b 3.989
_cell_length_c 3.989
_cell_angle_alpha 90.00
_cell_angle_beta 90.00
_cell_angle_gamma 90.00
_space_group_name_H-M_alt 'P 1'
_space_group_IT_number 1
_space_group_name_Hall 'P 1'
loop_
_atom_site_label
_atom_site_fract_x
_atom_site_fract_y
_atom_site_fract_z
_atom_site_occupancy
Br1 0.500 0.000 0.500 1
Sr1 0.500 0.500 0.000 1
Rh1 0.000 0.500 0.500 1
Rh2 0.000 0.000 0.000 1
# E above lowest polymorph   0.312 eV/atom
# Formation energy (no corrections)   5 kJ/mol of atoms
# M_tot   2.243 μB/cell
# Space group   No. 123

=====

Record 4
# TlHgPd3 GGA-PBE optimized geometry
data_TlHgPd3
_chemical_formula_sum 'Tl1 Hg1 Pd3'
_cell_length_a 5.087
_cell_length_b 5.087
_cell_length_c 5.087
_cell_angle_alpha 90.00
_cell_angle_beta 90.00
_cell_angle_gamma 90.00
_space_group_name_H-M_alt 'P 1'
_space_group_IT_number 1
_space_group_name_Hall 'P 1'
loop_
_atom_site_label
_atom_site_fract_x
_atom_site_fract_y
_atom_site_fract_z
_atom_site_occupancy
Pd1 0.500 0.000 0.000 1
Pd2 0.000 0.000 0.500 1
Pd3 0.000 0.500 0.000 1
Hg1 0.000 0.000 0.000 1
Tl1 0.500 0.500 0.500 1
# E above lowest polymorph   0.824 eV/atom
# M_tot   0.000 μB/cell
# Space group   No. 221
# ΔE_f   0.666 eV per atom

=====

Record 5
# CeNp2Co9 GGA-PBE optimized geometry
data_CeNp2Co9
_chemical_formula_sum 'Ce1 Np2 Co9'
_cell_length_a 4.863
_cell_length_b 4.863
_cell_length_c 8.630
_cell_angle_alpha 73.64
_cell_angle_beta 73.64
_cell_angle_gamma 60.00
_space_group_name_H-M_alt 'P 1'
_space_group_IT_number 1
_space_group_name_Hall 'P 1'
loop_
_atom_site_label
_atom_site_fract_x
_atom_site_fract_y
_atom_site_fract_z
_atom_site_occupancy
Co1 0.417 0.918 0.249 1
Co2 0.334 0.334 0.999 1
Co3 0.500 0.500 0.500 1
Co4 0.583 0.583 0.751 1
Co5 0.583 0.082 0.751 1
Co6 0.666 0.666 0.001 1
Co7 0.918 0.417 0.249 1
Co8 0.082 0.583 0.751 1
Co9 0.417 0.417 0.249 1
Np1 0.861 0.861 0.418 1
Np2 0.139 0.139 0.582 1
Ce1 0.000 0.000 0.000 1
# M_tot   1.256 μB/cell
# Space group   No. 166
# ΔE_f   -0.110 eV per atom

=====

Record 6
# K2PdAuN GGA-PBE optimized geometry
data_K2PdAuN
_chemical_formula_sum 'K2 Pd1 Au1 N1'
_cell_length_a 5.915
_cell_length_b 5.915
_cell_length_c 3.761
_cell_angle_alpha 90.00
_cell_angle_beta 90.00
_cell_angle_gamma 90.00
_space_group_name_H-M_alt 'P 1'
_space_group_IT_number 1
_space_group_name_Hall 'P 1'
loop_
_atom_site_label
_atom_site_fract_x
_atom_site_fract_y
_atom_site_fract_z
_atom_site_occupancy
N1 0.000 0.000 0.000 1
K1 0.000 0.500 0.000 1
K2 0.500 0.000 0.000 1
Au1 0.500 0.500 0.500 1
Pd1 0.000 0.000 0.500 1
# Formation energy (no corrections)   1 kJ/mol of atoms
# M_tot   0.331 μB/cell
# Space group   No. 123

=====

Which of these has the highest M_tot? SrRh2Br